# 1
Computed, not measured: a relaxed Na3MnBi2S6 crystal at the PBE level of DFT.

As for the crystal system: monoclinic. The value obtained for the total energy is -4.54 eV per atom.

It has space group C2/m (No. 12), with a = 6.813 Å, b = 11.893 Å, c = 7.082 Å, α = 90.00°, β = 108.91° and γ = 90.00°. The inequivalent atoms are Na at (0.000, 0.000, 0.000), Na at (0.000, 0.328, 0.000), Mn at (0.000, 0.500, 0.500), Bi at (0.000, 0.169, 0.500), S at (0.216, 0.500, 0.289) and S at (0.230, 0.347, 0.728).

---

# 2
Computed, not measured: a relaxed SrAcCeIn crystal at the PBE level of DFT.

For the energy of formation, the calculation gives 2.1 kcal/mol of atoms. As for the crystal system: cubic. The value obtained for the total energy is -3.52 eV per atom.

It has space group F-43m (No. 216), with a = 8.294 Å, b = 8.294 Å, c = 8.294 Å, α = 90.00°, β = 90.00° and γ = 90.00°. The inequivalent atoms are Sr at (0.000, 0.000, 0.000), Ac at (0.250, 0.250, 0.750), Ce at (0.000, 0.000, 0.500) and In at (0.250, 0.250, 0.250).

---

# 3
Computed, not measured: a relaxed Dy3Ho8In2 crystal at the PBE level of DFT.

For the energy of formation, the calculation gives 0.6 kcal/mol of atoms. As for the crystal system: monoclinic. The value obtained for the total energy is -4.27 eV per atom.

It has space group P2/m (No. 10), with a = 8.166 Å, b = 5.491 Å, c = 10.030 Å, α = 90.00°, β = 114.00° and γ = 90.00°. The inequivalent atoms are Dy at (0.000, 0.000, 0.000), Dy at (0.297, 0.500, 0.000), Ho at (0.130, 0.500, 0.260), Ho at (0.177, 0.000, 0.766), Ho at (0.323, 0.500, 0.646), Ho at (0.411, 0.000, 0.234) and In at (0.232, 0.000, 0.464).

---

# 4
Computed, not measured: a relaxed Fe2Pd3Rh crystal at the PBE level of DFT.

For the energy of formation, the calculation gives 1.4 kcal/mol of atoms. As for the crystal system: orthorhombic. The value obtained for the total energy is -6.58 eV per atom.

It has space group Cmmm (No. 65), with a = 4.571 Å, b = 13.722 Å, c = 2.771 Å, α = 90.00°, β = 90.00° and γ = 90.00°. The inequivalent atoms are Fe at (0.000, 0.159, 0.000), Pd at (0.000, 0.000, 0.500), Pd at (0.000, 0.321, 0.500) and Rh at (0.000, 0.500, 0.000).

---

# 5
Computed, not measured: a relaxed CeGdPt crystal at the PBE level of DFT.

For the energy of formation, the calculation gives -15.8 kcal/mol of atoms. As for the crystal system: tetragonal. The value obtained for the total energy is -9.37 eV per atom.

It has space group I4mm (No. 107), with a = 3.611 Å, b = 3.611 Å, c = 12.002 Å, α = 90.00°, β = 90.00° and γ = 90.00°. The inequivalent atoms are Ce at (0.000, 0.000, 0.000), Gd at (0.000, 0.000, 0.722) and Pt at (0.000, 0.000, 0.364).

---

# 6
Computed, not measured: a relaxed Li9CaMg2 crystal at the PBE level of DFT.

For the energy of formation, the calculation gives -0.2 kcal/mol of atoms. As for the crystal system: tetragonal. The value obtained for the total energy is -1.88 eV per atom.

It has space group P4/mbm (No. 127), with a = 9.559 Å, b = 9.559 Å, c = 5.729 Å, α = 90.00°, β = 90.00° and γ = 90.00°. The inequivalent atoms are Li at (0.000, 0.500, 0.000), Li at (0.067, 0.209, 0.000), Li at (0.177, 0.677, 0.268), Ca at (0.000, 0.000, 0.500) and Mg at (0.118, 0.382, 0.500).